# 1
First-principles (PBE-GGA) data for a relaxed structure of NaTb4PrS8, as listed in the Alexandria database.

Output
As for the energy relative to the elements, uncorrected: -1.939 eV per atom. As for the total magnetization: 0.0 μB/f.u. As for the calculated volume: 27.82 Å³/atom. The crystal system is trigonal.

Cell: 8.2447 8.2447 8.2447 Å, 59.24 59.24 59.24°
Fractional coordinates of all 14 atoms:
Na  0.0000  0.0000  0.0000
Tb  0.1134  0.6309  0.6309
Tb  0.2524  0.2524  0.2524
Tb  0.6309  0.1134  0.6309
Tb  0.6309  0.6309  0.1134
Pr  0.6303  0.6303  0.6303
S  0.3791  0.3791  0.8558
S  0.3791  0.8558  0.3791
S  0.3845  0.3845  0.3845
S  0.4082  0.8708  0.8708
S  0.8558  0.3791  0.3791
S  0.8647  0.8647  0.8647
S  0.8708  0.4082  0.8708
S  0.8708  0.8708  0.4082

---

# 2
First-principles (PBE-GGA) data for a relaxed structure of Na2LiF, as listed in the Alexandria database.

Output
As for the energy relative to the elements, uncorrected: -0.708 eV per atom. For the energy relative to the lowest polymorph listed for this composition, the calculation gives 439 meV per atom. As for the total magnetization: 0.0 μB/f.u. As for the calculated volume: 21.98 Å³/atom. The crystal system is cubic.

Cell: 7.0581 7.0581 7.0581 Å, 90.00 90.00 90.00°
Fractional coordinates of all 16 atoms:
Na  0.2500  0.2500  0.2500
Na  0.2500  0.2500  0.7500
Na  0.2500  0.7500  0.2500
Na  0.2500  0.7500  0.7500
Na  0.7500  0.2500  0.2500
Na  0.7500  0.2500  0.7500
Na  0.7500  0.7500  0.2500
Na  0.7500  0.7500  0.7500
Li  0.0000  0.0000  0.0000
Li  0.0000  0.5000  0.5000
Li  0.5000  0.0000  0.5000
Li  0.5000  0.5000  0.0000
F  0.0000  0.0000  0.5000
F  0.0000  0.5000  0.0000
F  0.5000  0.0000  0.0000
F  0.5000  0.5000  0.5000

---

# 3
First-principles (PBE-GGA) data for a relaxed structure of CdFeMoP2, as listed in the Alexandria database.

Output
As for the total magnetization: 3.5 μB/f.u. For the formation energy, the calculation gives 0.8857 eV/atom. As for the calculated volume: 22.49 Å³/atom. The crystal system is tetragonal.

Cell: 4.5872 4.5872 5.3448 Å, 90.00 90.00 90.00°
Fractional coordinates of all 5 atoms:
Cd  0.0000  0.0000  0.0000
Fe  0.5000  0.5000  0.0000
Mo  0.0000  0.0000  0.5000
P  0.0000  0.5000  0.5000
P  0.5000  0.0000  0.5000

---

# 4
First-principles (PBE-GGA) data for a relaxed structure of DyUFe, as listed in the Alexandria database.

Output
For the energy relative to the lowest polymorph listed for this composition, the calculation gives 0 meV per atom. As for the total magnetization: 0.3 μB/f.u. For the formation energy, the calculation gives 0.0075 eV/atom. As for the calculated volume: 20.87 Å³/atom. The crystal system is trigonal.

Cell: 8.8297 8.8297 8.8297 Å, 115.27 115.27 115.27°
Fractional coordinates of all 18 atoms:
Dy  0.1044  0.2968  0.3564
Dy  0.2968  0.3564  0.1044
Dy  0.3564  0.1044  0.2968
Dy  0.6436  0.8956  0.7032
Dy  0.7032  0.6436  0.8956
Dy  0.8956  0.7032  0.6436
U  0.1358  0.6788  0.2338
U  0.2338  0.1358  0.6788
U  0.3212  0.7662  0.8642
U  0.6788  0.2338  0.1358
U  0.7662  0.8642  0.3212
U  0.8642  0.3212  0.7662
Fe  0.2129  0.7681  0.5726
Fe  0.2319  0.4274  0.7871
Fe  0.4274  0.7871  0.2319
Fe  0.5726  0.2129  0.7681
Fe  0.7681  0.5726  0.2129
Fe  0.7871  0.2319  0.4274

---

# 5
First-principles (PBE-GGA) data for a relaxed structure of Mg4Co2Sn5, as listed in the Alexandria database.

Output
As for the total magnetization: 1.7 μB/f.u. For the formation energy, the calculation gives -0.0263 eV/atom. As for the calculated volume: 21.19 Å³/atom. The crystal system is monoclinic.

Cell: 7.5206 3.3775 9.1883 Å, 90.00 92.65 90.00°
Fractional coordinates of all 11 atoms:
Mg  0.1892  0.0000  0.3436
Mg  0.1974  0.0000  0.9340
Mg  0.8026  0.0000  0.0660
Mg  0.8108  0.0000  0.6564
Co  0.0713  0.5000  0.1282
Co  0.9287  0.5000  0.8718
Sn  0.1402  0.5000  0.6483
Sn  0.4323  0.5000  0.1592
Sn  0.5000  0.5000  0.5000
Sn  0.5677  0.5000  0.8408
Sn  0.8598  0.5000  0.3517

---

# 6
First-principles (PBE-GGA) data for a relaxed structure of Rb2AsOs, as listed in the Alexandria database.

Output
As for the total magnetization: 0.8 μB/f.u. For the formation energy, the calculation gives 0.4862 eV/atom. As for the calculated volume: 50.19 Å³/atom. The crystal system is tetragonal.

Cell: 13.1367 13.1367 4.6529 Å, 90.00 90.00 90.00°
Fractional coordinates of all 16 atoms:
Rb  0.0472  0.7500  0.1250
Rb  0.2500  0.0472  0.8750
Rb  0.2500  0.4528  0.3750
Rb  0.4528  0.7500  0.6250
Rb  0.5472  0.2500  0.6250
Rb  0.7500  0.5472  0.3750
Rb  0.7500  0.9528  0.8750
Rb  0.9528  0.2500  0.1250
As  0.0000  0.0000  0.0000
As  0.0000  0.5000  0.2500
As  0.5000  0.0000  0.7500
As  0.5000  0.5000  0.5000
Os  0.0000  0.0000  0.5000
Os  0.0000  0.5000  0.7500
Os  0.5000  0.0000  0.2500
Os  0.5000  0.5000  0.0000

---

# 7
First-principles (PBE-GGA) data for a relaxed structure of CeYCoAu, as listed in the Alexandria database.

Output
As for the total magnetization: 0.3 μB/f.u. For the formation energy, the calculation gives -0.3304 eV/atom. As for the calculated volume: 22.02 Å³/atom. The crystal system is cubic.

Cell: 7.0624 7.0624 7.0624 Å, 90.00 90.00 90.00°
Fractional coordinates of all 16 atoms:
Ce  0.0000  0.0000  0.0000
Ce  0.0000  0.5000  0.5000
Ce  0.5000  0.0000  0.5000
Ce  0.5000  0.5000  0.0000
Y  0.0000  0.0000  0.5000
Y  0.0000  0.5000  0.0000
Y  0.5000  0.0000  0.0000
Y  0.5000  0.5000  0.5000
Co  0.2500  0.2500  0.7500
Co  0.2500  0.7500  0.2500
Co  0.7500  0.2500  0.2500
Co  0.7500  0.7500  0.7500
Au  0.2500  0.2500  0.2500
Au  0.2500  0.7500  0.7500
Au  0.7500  0.2500  0.7500
Au  0.7500  0.7500  0.2500

---

# 8
First-principles (PBE-GGA) data for a relaxed structure of KTa3Si, as listed in the Alexandria database.

Output
As for the energy relative to the elements, uncorrected: 3.018 eV per atom. For the energy relative to the lowest polymorph listed for this composition, the calculation gives 1719 meV per atom. As for the total magnetization: 0.0 μB/f.u. As for the calculated volume: 19.45 Å³/atom. The crystal system is cubic.

Cell: 4.5984 4.5984 4.5984 Å, 90.00 90.00 90.00°
Fractional coordinates of all 5 atoms:
K  0.0000  0.0000  0.0000
Ta  0.0000  0.0000  0.5000
Ta  0.0000  0.5000  0.0000
Ta  0.5000  0.0000  0.0000
Si  0.5000  0.5000  0.5000

---

# 9
First-principles (PBE-GGA) data for a relaxed structure of Ac6Bi3Te2Pb, as listed in the Alexandria database.

Output
As for the energy relative to the elements, uncorrected: -1.120 eV per atom. As for the total magnetization: 0.0 μB/f.u. As for the calculated volume: 40.07 Å³/atom. The crystal system is monoclinic.

Cell: 10.8115 10.8115 9.6745 Å, 102.84 102.84 25.90°
Fractional coordinates of all 12 atoms:
Ac  0.0008  0.0008  0.2551
Ac  0.3351  0.3351  0.9146
Ac  0.3359  0.3359  0.4217
Ac  0.6641  0.6641  0.5783
Ac  0.6649  0.6649  0.0854
Ac  0.9992  0.9992  0.7449
Bi  0.1691  0.1691  0.3318
Bi  0.5000  0.5000  0.0000
Bi  0.8309  0.8309  0.6682
Te  0.1680  0.1680  0.8358
Te  0.8320  0.8320  0.1642
Pb  0.5000  0.5000  0.5000

---

# 10
First-principles (PBE-GGA) data for a relaxed structure of PuScCd2, as listed in the Alexandria database.

Output
For the energy relative to the lowest polymorph listed for this composition, the calculation gives 71 meV per atom. As for the total magnetization: 6.1 μB/f.u. For the formation energy, the calculation gives -0.0637 eV/atom. As for the calculated volume: 24.44 Å³/atom. The crystal system is tetragonal.

Cell: 5.5085 5.5085 3.2222 Å, 90.00 90.00 90.00°
Fractional coordinates of all 4 atoms:
Pu  0.0000  0.0000  0.0000
Sc  0.5000  0.5000  0.0000
Cd  0.0000  0.5000  0.5000
Cd  0.5000  0.0000  0.5000

---

# 11
First-principles (PBE-GGA) data for a relaxed structure of TbBeRh, as listed in the Alexandria database.

Output
For the energy relative to the lowest polymorph listed for this composition, the calculation gives 0 meV per atom. As for the total magnetization: 0.0 μB/f.u. For the formation energy, the calculation gives -0.6002 eV/atom. As for the calculated volume: 17.00 Å³/atom. The crystal system is orthorhombic.

Cell: 6.8198 4.1881 7.1406 Å, 90.00 90.00 90.00°
Fractional coordinates of all 12 atoms:
Tb  0.0075  0.2500  0.1940
Tb  0.4925  0.7500  0.6940
Tb  0.5075  0.2500  0.3060
Tb  0.9925  0.7500  0.8060
Be  0.1792  0.2500  0.5899
Be  0.3208  0.7500  0.0899
Be  0.6792  0.2500  0.9101
Be  0.8208  0.7500  0.4101
Rh  0.1713  0.7500  0.4279
Rh  0.3287  0.2500  0.9279
Rh  0.6713  0.7500  0.0721
Rh  0.8287  0.2500  0.5721

---

# 12
First-principles (PBE-GGA) data for a relaxed structure of Ba3SBr, as listed in the Alexandria database.

Output
As for the energy relative to the elements, uncorrected: -1.032 eV per atom. For the energy relative to the lowest polymorph listed for this composition, the calculation gives 0 meV per atom. As for the total magnetization: 1.8 μB/f.u. As for the calculated volume: 46.42 Å³/atom. The crystal system is cubic.

Cell: 6.1453 6.1453 6.1453 Å, 90.00 90.00 90.00°
Fractional coordinates of all 5 atoms:
Ba  0.0000  0.0000  0.5000
Ba  0.0000  0.5000  0.0000
Ba  0.5000  0.0000  0.0000
S  0.0000  0.0000  0.0000
Br  0.5000  0.5000  0.5000

---

# 13
First-principles (PBE-GGA) data for a relaxed structure of SrMgAs, as listed in the Alexandria database.

Output
For the energy relative to the lowest polymorph listed for this composition, the calculation gives 22 meV per atom. As for the total magnetization: 0.0 μB/f.u. For the formation energy, the calculation gives -0.7108 eV/atom. As for the calculated volume: 27.53 Å³/atom. The crystal system is hexagonal.

Cell: 4.5194 4.5194 4.6687 Å, 90.00 90.00 120.00°
Fractional coordinates of all 3 atoms:
Sr  0.0000  0.0000  0.0000
Mg  0.3333  0.6667  0.5000
As  0.6667  0.3333  0.5000

---

# 14
First-principles (PBE-GGA) data for a relaxed structure of ReTcHg2, as listed in the Alexandria database.

Output
For the energy relative to the lowest polymorph listed for this composition, the calculation gives 0 meV per atom. As for the total magnetization: 0.0 μB/f.u. For the formation energy, the calculation gives 0.3176 eV/atom. As for the calculated volume: 18.69 Å³/atom. The crystal system is tetragonal.

Cell: 2.9733 2.9733 8.4554 Å, 90.00 90.00 90.00°
Fractional coordinates of all 4 atoms:
Re  0.0000  0.0000  0.0000
Tc  0.5000  0.5000  0.1706
Hg  0.0000  0.0000  0.4315
Hg  0.5000  0.5000  0.7376

---

# 15
First-principles (PBE-GGA) data for a relaxed structure of ScNi, as listed in the Alexandria database.

Output
As for the total magnetization: 0.0 μB/f.u. For the formation energy, the calculation gives -0.2146 eV/atom. As for the calculated volume: 18.27 Å³/atom. The crystal system is trigonal.

Cell: 3.9921 3.9921 15.8831 Å, 90.00 90.00 120.00°
Fractional coordinates of all 12 atoms:
Sc  0.0000  0.0000  0.0945
Sc  0.0000  0.0000  0.9055
Sc  0.3333  0.6667  0.5722
Sc  0.3333  0.6667  0.7612
Sc  0.6667  0.3333  0.2388
Sc  0.6667  0.3333  0.4278
Ni  0.0000  0.0000  0.3182
Ni  0.0000  0.0000  0.6818
Ni  0.3333  0.6667  0.3485
Ni  0.3333  0.6667  0.9849
Ni  0.6667  0.3333  0.0151
Ni  0.6667  0.3333  0.6515

---

# 16
First-principles (PBE-GGA) data for a relaxed structure of Sm3HfTl3Te8, as listed in the Alexandria database.

Output
As for the energy relative to the elements, uncorrected: -1.004 eV per atom. As for the total magnetization: 0.0 μB/f.u. As for the calculated volume: 37.40 Å³/atom. The crystal system is trigonal.

Cell: 9.7412 9.7412 9.7412 Å, 53.94 53.94 53.94°
Fractional coordinates of all 15 atoms:
Sm  0.0000  0.5000  0.5000
Sm  0.5000  0.0000  0.5000
Sm  0.5000  0.5000  0.0000
Hf  0.0000  0.0000  0.0000
Tl  0.0000  0.0000  0.5000
Tl  0.0000  0.5000  0.0000
Tl  0.5000  0.0000  0.0000
Te  0.2253  0.2253  0.7571
Te  0.2253  0.7571  0.2253
Te  0.2429  0.7747  0.7747
Te  0.2602  0.2602  0.2602
Te  0.7398  0.7398  0.7398
Te  0.7571  0.2253  0.2253
Te  0.7747  0.2429  0.7747
Te  0.7747  0.7747  0.2429

---

# 17
First-principles (PBE-GGA) data for a relaxed structure of Cs3H5Au, as listed in the Alexandria database.

Output
Its total energy is -2.57 eV per atom. As for the total magnetization: 1.0 μB/f.u. As for the calculated volume: 24.37 Å³/atom. The crystal system is tetragonal.

Cell: 8.6992 8.6992 8.6992 Å, 123.46 123.46 84.11°
Fractional coordinates of all 18 atoms:
Cs  0.1824  0.6824  0.8649
Cs  0.2500  0.2500  0.0000
Cs  0.3176  0.1824  0.5000
Cs  0.6824  0.8176  0.5000
Cs  0.7500  0.7500  0.0000
Cs  0.8176  0.3176  0.1351
H  0.0000  0.0000  0.0000
H  0.0489  0.7632  0.5000
H  0.2368  0.7368  0.2857
H  0.2632  0.5489  0.5000
H  0.4511  0.9511  0.7143
H  0.5000  0.5000  0.0000
H  0.5489  0.0489  0.2857
H  0.7368  0.4511  0.5000
H  0.7632  0.2632  0.7143
H  0.9511  0.2368  0.5000
Au  0.2500  0.7500  0.5000
Au  0.7500  0.2500  0.5000

---

# 18
First-principles (PBE-GGA) data for a relaxed structure of ZrBe2Cu2, as listed in the Alexandria database.

Output
For the energy relative to the lowest polymorph listed for this composition, the calculation gives 0 meV per atom. As for the total magnetization: 0.0 μB/f.u. For the formation energy, the calculation gives -0.0796 eV/atom. As for the calculated volume: 12.89 Å³/atom. The crystal system is tetragonal.

Cell: 3.8930 3.8930 8.5078 Å, 90.00 90.00 90.00°
Fractional coordinates of all 10 atoms:
Zr  0.0000  0.0000  0.0000
Zr  0.5000  0.5000  0.5000
Be  0.0000  0.5000  0.2500
Be  0.0000  0.5000  0.7500
Be  0.5000  0.0000  0.2500
Be  0.5000  0.0000  0.7500
Cu  0.0000  0.0000  0.3653
Cu  0.0000  0.0000  0.6347
Cu  0.5000  0.5000  0.1347
Cu  0.5000  0.5000  0.8653

---

# 19
First-principles (PBE-GGA) data for a relaxed structure of Ca2IrOs, as listed in the Alexandria database.

Output
For the energy relative to the lowest polymorph listed for this composition, the calculation gives 479 meV per atom. As for the total magnetization: 0.0 μB/f.u. For the formation energy, the calculation gives 0.4741 eV/atom. As for the calculated volume: 19.12 Å³/atom. The crystal system is trigonal.

Cell: 3.0932 3.0932 27.6905 Å, 90.00 90.00 120.00°
Fractional coordinates of all 12 atoms:
Ca  0.0000  0.0000  0.2489
Ca  0.0000  0.0000  0.7511
Ca  0.3333  0.6667  0.4178
Ca  0.3333  0.6667  0.9155
Ca  0.6667  0.3333  0.0845
Ca  0.6667  0.3333  0.5822
Ir  0.0000  0.0000  0.5000
Ir  0.3333  0.6667  0.1667
Ir  0.6667  0.3333  0.8333
Os  0.0000  0.0000  0.0000
Os  0.3333  0.6667  0.6667
Os  0.6667  0.3333  0.3333

---

# 20
First-principles (PBE-GGA) data for a relaxed structure of SrZnTeO6, as listed in the Alexandria database.

Output
As for the energy relative to the elements, uncorrected: -1.345 eV per atom. As for the total magnetization: 2.1 μB/f.u. As for the calculated volume: 14.66 Å³/atom. The crystal system is trigonal.

Cell: 5.2989 5.2989 10.8551 Å, 90.00 90.00 120.00°
Fractional coordinates of all 18 atoms:
Sr  0.0000  0.0000  0.0000
Sr  0.0000  0.0000  0.5000
Zn  0.3333  0.6667  0.2500
Zn  0.6667  0.3333  0.7500
Te  0.3333  0.6667  0.7500
Te  0.6667  0.3333  0.2500
O  0.0167  0.3868  0.6472
O  0.0167  0.6298  0.8528
O  0.3702  0.3868  0.8528
O  0.3702  0.9833  0.6472
O  0.3868  0.0167  0.1472
O  0.3868  0.3702  0.3528
O  0.6132  0.6298  0.6472
O  0.6132  0.9833  0.8528
O  0.6298  0.0167  0.3528
O  0.6298  0.6132  0.1472
O  0.9833  0.3702  0.1472
O  0.9833  0.6132  0.3528